Density functional theory data (GGA-PBE) for an optimized crystal structure of CuNi2Pd.

Computed properties:
**D(E_F)**: 1.8370 states/eV/atom
**ΔH_f (0 K)**: 0.38 eV/atom
**E**: -4.83 eV/atom
**Mass density**: 8.9 g/cm3

Cell lengths 3.519, 3.519, 9.023 Å; angles 78.76, 78.76, 90.00 degrees
Positions (direct):
Pd (0.750, 0.250, 0.500)
Pd (0.000, 0.000, 0.000)
Ni (0.134, 0.625, 0.250)
Ni (0.875, 0.866, 0.750)
Ni (0.375, 0.384, 0.750)
Ni (0.616, 0.125, 0.250)
Cu (0.500, 0.500, 0.000)
Cu (0.250, 0.750, 0.500)


Density functional theory data (GGA-PBE) for an optimized crystal structure of Cu2Ni3Pd5.

Computed properties:
**D(E_F)**: 1.6055 states/eV/atom
**ΔH_f (0 K)**: 0.19 eV/atom
**E**: -4.96 eV/atom
**Mass density**: 9.4 g/cm3

Cell lengths 4.575, 4.599, 8.657 Å; angles 99.24, 109.80, 59.06 degrees
Positions (direct):
Ni (0.981, 0.184, 0.747)
Ni (0.500, 0.500, 0.500)
Ni (0.019, 0.816, 0.253)
Cu (0.639, 0.818, 0.760)
Cu (0.361, 0.182, 0.240)
Pd (0.646, 0.510, 0.193)
Pd (0.354, 0.490, 0.807)
Pd (0.161, 0.171, 0.493)
Pd (0.839, 0.829, 0.507)
Pd (0.000, 0.000, 0.000)